(1)
! La8IrRh3I4 | Alexandria | PBE | relaxed; values from VASP
! space-group type: C2/m
! formation energy (no corrections): -17.13 eV/f.u.
! DOS(E_F): 4.2 states/eV/f.u.
! calculated total energy: -5.854 eV/atom
&SYSTEM
  ibrav = 0, nat = 16, ntyp = 4
/
ATOMIC_SPECIES
La 138.91 La.upf
Ir 192.22 Ir.upf
Rh 102.91 Rh.upf
I 126.90 I.upf
CELL_PARAMETERS angstrom
7.343 -4.238 0.000
7.343 4.238 0.000
-4.886 0.000 8.284
ATOMIC_POSITIONS crystal
La 0.228 0.228 0.686
La 0.228 0.731 0.686
La 0.269 0.772 0.314
La 0.271 0.271 0.314
La 0.729 0.729 0.686
La 0.731 0.228 0.686
La 0.772 0.269 0.314
La 0.772 0.772 0.314
Ir 0.000 0.000 0.500
Rh 0.000 0.500 0.500
Rh 0.500 0.000 0.500
Rh 0.500 0.500 0.500
I 0.000 0.000 0.000
I 0.000 0.500 0.000
I 0.500 0.000 0.000
I 0.500 0.500 0.000



(2)
! La6Ir2RhI2 | Alexandria | PBE | relaxed; values from VASP
! space-group type: C2/m
! formation energy (no corrections): -10.12 eV/f.u.
! DOS(E_F): 6.4 states/eV/f.u.
! calculated total energy: -6.169 eV/atom
&SYSTEM
  ibrav = 0, nat = 11, ntyp = 4
/
ATOMIC_SPECIES
La 138.91 La.upf
Ir 192.22 Ir.upf
Rh 102.91 Rh.upf
I 126.90 I.upf
CELL_PARAMETERS angstrom
3.678 -6.375 0.000
3.678 6.375 0.000
-2.465 0.000 8.244
ATOMIC_POSITIONS crystal
La 0.103 0.438 0.816
La 0.228 0.228 0.183
La 0.438 0.103 0.816
La 0.562 0.897 0.184
La 0.772 0.772 0.817
La 0.897 0.562 0.184
Ir 0.168 0.832 0.000
Ir 0.832 0.168 0.000
Rh 0.500 0.500 0.000
I 0.334 0.666 0.500
I 0.666 0.334 0.500



(3)
! La6IrRh2I2 | Alexandria | PBE | relaxed; values from VASP
! space-group type: C2/m
! formation energy (no corrections): -9.91 eV/f.u.
! DOS(E_F): 6.4 states/eV/f.u.
! calculated total energy: -6.012 eV/atom
&SYSTEM
  ibrav = 0, nat = 11, ntyp = 4
/
ATOMIC_SPECIES
La 138.91 La.upf
Ir 192.22 Ir.upf
Rh 102.91 Rh.upf
I 126.90 I.upf
CELL_PARAMETERS angstrom
3.663 -6.358 0.000
3.663 6.358 0.000
-2.465 0.000 8.241
ATOMIC_POSITIONS crystal
La 0.062 0.395 0.185
La 0.270 0.270 0.815
La 0.395 0.062 0.185
La 0.605 0.938 0.815
La 0.730 0.730 0.185
La 0.938 0.605 0.815
Ir 0.000 0.000 0.000
Rh 0.331 0.669 0.000
Rh 0.669 0.331 0.000
I 0.166 0.834 0.500
I 0.834 0.166 0.500



(4)
! La8Ir3RuI3 | Alexandria | PBE | relaxed; values from VASP
! space-group type: C2/m
! formation energy (no corrections): -13.65 eV/f.u.
! DOS(E_F): 7.0 states/eV/f.u.
! calculated total energy: -6.238 eV/atom
&SYSTEM
  ibrav = 0, nat = 15, ntyp = 4
/
ATOMIC_SPECIES
La 138.91 La.upf
Ir 192.22 Ir.upf
Ru 101.07 Ru.upf
I 126.90 I.upf
CELL_PARAMETERS angstrom
7.337 -4.230 0.000
7.337 4.230 0.000
-4.894 0.000 8.307
ATOMIC_POSITIONS crystal
La 0.225 0.225 0.682
La 0.225 0.733 0.682
La 0.267 0.775 0.318
La 0.272 0.272 0.318
La 0.728 0.728 0.682
La 0.733 0.225 0.682
La 0.775 0.267 0.318
La 0.775 0.775 0.318
Ir 0.000 0.500 0.500
Ir 0.500 0.000 0.500
Ir 0.500 0.500 0.500
Ru 0.000 0.000 0.500
I 0.000 0.000 0.000
I 0.000 0.500 0.000
I 0.500 0.000 0.000



Copy entry 2 word for word.
! La6Ir2RhI2 | Alexandria | PBE | relaxed; values from VASP
! space-group type: C2/m
! formation energy (no corrections): -10.12 eV/f.u.
! DOS(E_F): 6.4 states/eV/f.u.
! calculated total energy: -6.169 eV/atom
&SYSTEM
  ibrav = 0, nat = 11, ntyp = 4
/
ATOMIC_SPECIES
La 138.91 La.upf
Ir 192.22 Ir.upf
Rh 102.91 Rh.upf
I 126.90 I.upf
CELL_PARAMETERS angstrom
3.678 -6.375 0.000
3.678 6.375 0.000
-2.465 0.000 8.244
ATOMIC_POSITIONS crystal
La 0.103 0.438 0.816
La 0.228 0.228 0.183
La 0.438 0.103 0.816
La 0.562 0.897 0.184
La 0.772 0.772 0.817
La 0.897 0.562 0.184
Ir 0.168 0.832 0.000
Ir 0.832 0.168 0.000
Rh 0.500 0.500 0.000
I 0.334 0.666 0.500
I 0.666 0.334 0.500